*a*
# TaCoCuRh | Alexandria via LeMat-Bulk | PBE | optimized geometry
# **Calculated volume**: 13.659 Å³/atom
data_TaCoCuRh
_chemical_formula_sum 'Ta4 Co4 Cu4 Rh4'
_cell_length_a 6.0235
_cell_length_b 6.0235
_cell_length_c 6.0235
_cell_angle_alpha 90.00
_cell_angle_beta 90.00
_cell_angle_gamma 90.00
_symmetry_space_group_name_H-M 'F -4 3 m'
_symmetry_Int_Tables_number 216
_symmetry_space_group_name_Hall 'F -4 2 3'
loop_
_atom_site_label
_atom_site_fract_x
_atom_site_fract_y
_atom_site_fract_z
Ta1 0.0000 0.0000 0.0000
Co1 0.2500 0.2500 0.7500
Cu1 0.0000 0.0000 0.5000
Rh1 0.2500 0.2500 0.2500


*b*
# TaCoCuRh | Alexandria via LeMat-Bulk | PBE | optimized geometry
# **Calculated volume**: 13.478 Å³/atom
data_TaCoCuRh
_chemical_formula_sum 'Ta1 Co1 Cu1 Rh1'
_cell_length_a 3.5259
_cell_length_b 3.8427
_cell_length_c 3.9790
_cell_angle_alpha 90.00
_cell_angle_beta 90.00
_cell_angle_gamma 90.00
_symmetry_space_group_name_H-M 'P m m m'
_symmetry_Int_Tables_number 47
_symmetry_space_group_name_Hall '-P 2 2'
loop_
_atom_site_label
_atom_site_fract_x
_atom_site_fract_y
_atom_site_fract_z
Ta1 0.0000 0.0000 0.0000
Co1 0.5000 0.5000 0.0000
Cu1 0.0000 0.5000 0.5000
Rh1 0.5000 0.0000 0.5000


*b* comes first in stability; the runner-up is 2.6 kJ/mol of atoms higher.


*a*
# CoCuRu2 | Alexandria via LeMat-Bulk | PBE | optimized geometry
# **Calculated volume**: 14.310 Å³/atom
data_CoCuRu2
_chemical_formula_sum 'Co4 Cu4 Ru8'
_cell_length_a 6.8785
_cell_length_b 6.8785
_cell_length_c 4.8392
_cell_angle_alpha 90.00
_cell_angle_beta 90.00
_cell_angle_gamma 90.00
_symmetry_space_group_name_H-M 'I -4 2 d'
_symmetry_Int_Tables_number 122
_symmetry_space_group_name_Hall 'I -4 2bw'
loop_
_atom_site_label
_atom_site_fract_x
_atom_site_fract_y
_atom_site_fract_z
Co1 0.0000 0.0000 0.0000
Cu1 0.0000 0.0000 0.5000
Ru1 0.2002 0.2500 0.1250


*b*
# CoCuRu2 | Alexandria via LeMat-Bulk | PBE | optimized geometry
# **Calculated volume**: 13.108 Å³/atom
data_CoCuRu2
_chemical_formula_sum 'Co4 Cu4 Ru8'
_cell_length_a 5.9414
_cell_length_b 5.9414
_cell_length_c 5.9414
_cell_angle_alpha 90.00
_cell_angle_beta 90.00
_cell_angle_gamma 90.00
_symmetry_space_group_name_H-M 'F -4 3 m'
_symmetry_Int_Tables_number 216
_symmetry_space_group_name_Hall 'F -4 2 3'
loop_
_atom_site_label
_atom_site_fract_x
_atom_site_fract_y
_atom_site_fract_z
Co1 0.0000 0.0000 0.0000
Cu1 0.2500 0.2500 0.7500
Ru1 0.0000 0.0000 0.5000
Ru2 0.2500 0.2500 0.2500


*c*
# CoCuRu2 | Alexandria via LeMat-Bulk | PBE | optimized geometry
# **Calculated volume**: 12.790 Å³/atom
data_CoCuRu2
_chemical_formula_sum 'Co2 Cu2 Ru4'
_cell_length_a 8.7498
_cell_length_b 2.6544
_cell_length_c 4.4786
_cell_angle_alpha 90.00
_cell_angle_beta 100.38
_cell_angle_gamma 90.00
_symmetry_space_group_name_H-M 'C 1 m 1'
_symmetry_Int_Tables_number 8
_symmetry_space_group_name_Hall 'C -2y'
loop_
_atom_site_label
_atom_site_fract_x
_atom_site_fract_y
_atom_site_fract_z
Co1 0.0000 0.0000 0.0000
Cu1 0.2508 0.0000 0.7743
Ru1 0.2461 0.5000 0.2698
Ru2 0.4962 0.0000 0.4986


*c* comes first in stability; the runner-up is 13.8 kJ/mol of atoms higher.


*a*
# CoCuRu2 | Alexandria via LeMat-Bulk | PBE | optimized geometry
# **Calculated volume**: 12.771 Å³/atom
data_CoCuRu2
_chemical_formula_sum 'Co4 Cu4 Ru8'
_cell_length_a 5.8900
_cell_length_b 5.8900
_cell_length_c 5.8900
_cell_angle_alpha 90.00
_cell_angle_beta 90.00
_cell_angle_gamma 90.00
_symmetry_space_group_name_H-M 'F m -3 m'
_symmetry_Int_Tables_number 225
_symmetry_space_group_name_Hall '-F 4 2 3'
loop_
_atom_site_label
_atom_site_fract_x
_atom_site_fract_y
_atom_site_fract_z
Co1 0.0000 0.0000 0.0000
Cu1 0.0000 0.0000 0.5000
Ru1 0.2500 0.2500 0.2500


*b*
# CoCuRu2 | Alexandria via LeMat-Bulk | PBE | optimized geometry
# **Calculated volume**: 12.678 Å³/atom
data_CoCuRu2
_chemical_formula_sum 'Co2 Cu2 Ru4'
_cell_length_a 3.6722
_cell_length_b 3.6722
_cell_length_c 7.5213
_cell_angle_alpha 90.00
_cell_angle_beta 90.00
_cell_angle_gamma 90.00
_symmetry_space_group_name_H-M 'I 4/m m m'
_symmetry_Int_Tables_number 139
_symmetry_space_group_name_Hall '-I 4 2'
loop_
_atom_site_label
_atom_site_fract_x
_atom_site_fract_y
_atom_site_fract_z
Co1 0.0000 0.0000 0.0000
Cu1 0.0000 0.0000 0.5000
Ru1 0.0000 0.5000 0.2500


*b* comes first in stability; the runner-up is 7.2 kJ/mol of atoms higher.


*a*
# Co2Cu2Ru | Alexandria via LeMat-Bulk | PBE | optimized geometry
# **Calculated volume**: 12.416 Å³/atom
data_Co2Cu2Ru
_chemical_formula_sum 'Co4 Cu4 Ru2'
_cell_length_a 6.7504
_cell_length_b 6.7504
_cell_length_c 2.7246
_cell_angle_alpha 90.00
_cell_angle_beta 90.00
_cell_angle_gamma 90.00
_symmetry_space_group_name_H-M 'P 4/m b m'
_symmetry_Int_Tables_number 127
_symmetry_space_group_name_Hall '-P 4 2ab'
loop_
_atom_site_label
_atom_site_fract_x
_atom_site_fract_y
_atom_site_fract_z
Co1 0.1189 0.3811 0.0000
Cu1 0.1778 0.6778 0.5000
Ru1 0.0000 0.0000 0.0000


*b*
# Co2Cu2Ru | Alexandria via LeMat-Bulk | PBE | optimized geometry
# **Calculated volume**: 12.179 Å³/atom
data_Co2Cu2Ru
_chemical_formula_sum 'Co4 Cu4 Ru2'
_cell_length_a 6.8278
_cell_length_b 6.8278
_cell_length_c 2.6124
_cell_angle_alpha 90.00
_cell_angle_beta 90.00
_cell_angle_gamma 90.00
_symmetry_space_group_name_H-M 'P 4/m b m'
_symmetry_Int_Tables_number 127
_symmetry_space_group_name_Hall '-P 4 2ab'
loop_
_atom_site_label
_atom_site_fract_x
_atom_site_fract_y
_atom_site_fract_z
Co1 0.1739 0.3261 0.0000
Cu1 0.1248 0.6248 0.5000
Ru1 0.0000 0.0000 0.5000


*b* comes first in stability; the runner-up is 1.2 kJ/mol of atoms higher.